Entry 1:
The following is a DFT calculation (GGA-PBE) of a geometry-optimized Tb8Sm3Tm structure.

extended XYZ file:
```
12
Lattice="-4.361 4.361 5.677 4.361 -4.361 5.677 4.361 4.361 -5.677" Properties=species:S:1:pos:R:3 pbc="T T T"
Tb 3.266 3.266 -2.874
Tb 2.145 2.145 -0.088
Tb 2.216 -2.216 5.765
Tb 1.095 1.095 2.803
Tb 1.095 -1.095 8.551
Tb 2.216 2.216 5.589
Tb -2.216 2.216 5.765
Tb -1.095 1.095 8.551
Sm 4.361 0.000 2.838
Sm 0.000 0.000 5.677
Sm 0.000 4.361 2.838
Tm 0.000 0.000 0.000
```

Summary:
E	-4.02	eV/atom
N(E_F)	18.42	states/eV/f.u.
symmetry	I-42m (121)
size of the total moment	0.0	Bohr magnetons per cell


Entry 2:
The following is a DFT calculation (GGA-PBE) of a geometry-optimized TbSm12Tm5 structure.

extended XYZ file:
```
18
Lattice="10.737 0.000 0.000 0.000 5.077 0.000 -0.041 0.000 10.757" Properties=species:S:1:pos:R:3 pbc="T T T"
Tb 0.000 0.000 0.000
Sm -0.011 0.000 7.181
Sm 1.773 2.539 1.784
Sm 1.788 2.539 5.395
Sm 3.528 0.000 10.742
Sm 3.585 0.000 3.605
Sm 5.317 2.539 8.945
Sm 5.379 2.539 1.812
Sm 7.110 0.000 7.152
Sm 7.168 0.000 0.016
Sm 8.907 2.539 5.363
Sm 8.923 2.539 8.973
Sm 10.706 0.000 3.576
Tm 1.760 2.539 8.960
Tm 3.552 0.000 7.172
Tm 5.348 2.539 5.379
Tm 7.144 0.000 3.586
Tm 8.936 2.539 1.798
```

Summary:
E	-4.62	eV/atom
N(E_F)	26.00	states/eV/f.u.
symmetry	P2/m (10)
size of the total moment	0.0	Bohr magnetons per cell


Entry 3:
The following is a DFT calculation (GGA-PBE) of a geometry-optimized Tb2Sm3Tm4 structure.

extended XYZ file:
```
9
Lattice="6.141 0.000 0.000 1.017 6.068 0.000 1.010 1.887 7.634" Properties=species:S:1:pos:R:3 pbc="T T T"
Tb 1.531 2.330 1.270
Tb 6.637 5.625 6.365
Sm 3.572 4.052 5.520
Sm 3.576 0.944 3.817
Sm 4.596 3.904 2.114
Tm 1.515 5.451 2.964
Tm 3.551 7.178 7.221
Tm 4.617 0.777 0.413
Tm 6.653 2.504 4.670
```

Summary:
E	-4.57	eV/atom
N(E_F)	12.94	states/eV/f.u.
symmetry	P-1 (2)
size of the total moment	0.0	Bohr magnetons per cell
E above lowest polymorph	0.000	eV per atom


Entry 4:
The following is a DFT calculation (GGA-PBE) of a geometry-optimized Tb5Sm6Tm2 structure.

extended XYZ file:
```
26
Lattice="11.646 0.000 0.000 0.000 20.503 0.000 0.000 0.000 3.598" Properties=species:S:1:pos:R:3 pbc="T T T"
Tb 0.000 0.000 0.000
Tb 1.049 5.592 0.000
Tb 2.300 11.360 0.000
Tb 3.523 1.108 0.000
Tb 4.774 15.843 0.000
Tb 5.823 10.252 0.000
Tb 6.872 4.660 0.000
Tb 8.123 19.395 0.000
Tb 9.346 9.143 0.000
Tb 10.597 14.912 0.000
Sm 0.711 8.591 1.799
Sm 0.973 2.705 1.799
Sm 2.003 17.682 0.000
Sm 3.819 7.430 0.000
Sm 4.850 12.957 1.799
Sm 5.112 18.843 1.799
Sm 6.534 1.661 1.799
Sm 6.796 7.547 1.799
Sm 7.826 13.073 0.000
Sm 9.642 2.822 0.000
Sm 10.673 17.799 1.799
Sm 10.935 11.912 1.799
Tm 1.945 14.545 1.799
Tm 3.877 4.294 1.799
Tm 7.768 16.210 1.799
Tm 9.700 5.958 1.799
```

Summary:
E	-4.55	eV/atom
N(E_F)	14.73	states/eV/f.u.
symmetry	Pbam (55)
size of the total moment	0.0	Bohr magnetons per cell


Entry 5:
The following is a DFT calculation (GGA-PBE) of a geometry-optimized Tb2SmTm structure.

extended XYZ file:
```
4
Lattice="5.026 0.000 0.000 0.000 5.026 0.000 0.000 0.000 5.043" Properties=species:S:1:pos:R:3 pbc="T T T"
Tb 0.000 2.513 0.000
Tb 2.513 0.000 0.000
Sm 0.000 0.000 2.521
Tm 2.513 2.513 2.521
```

Summary:
E	-4.59	eV/atom
N(E_F)	5.98	states/eV/f.u.
symmetry	P4/mmm (123)
size of the total moment	0.0	Bohr magnetons per cell
E above lowest polymorph	0.008	eV per atom


Entry 6:
The following is a DFT calculation (GGA-PBE) of a geometry-optimized TbSmTm structure.

extended XYZ file:
```
3
Lattice="5.623 0.000 0.000 -2.812 4.870 0.000 0.000 0.000 3.473" Properties=species:S:1:pos:R:3 pbc="T T T"
Tb 0.000 0.000 0.000
Sm 2.812 1.623 1.737
Tm 0.000 3.246 1.737
```

Summary:
E	-4.54	eV/atom
N(E_F)	4.98	states/eV/f.u.
symmetry	P-6m2 (187)
size of the total moment	0.0	Bohr magnetons per cell
E above lowest polymorph	0.077	eV per atom


Entry 7:
The following is a DFT calculation (GGA-PBE) of a geometry-optimized Tb6Sm2Tm3 structure.

extended XYZ file:
```
11
Lattice="1.777 1.026 31.808 -1.777 1.026 31.808 0.000 -2.052 31.808" Properties=species:S:1:pos:R:3 pbc="T T T"
Tb 0.000 0.000 8.560
Tb 0.000 0.000 17.352
Tb 0.000 0.000 34.662
Tb 0.000 0.000 60.763
Tb 0.000 0.000 78.073
Tb 0.000 0.000 86.864
Sm 0.000 0.000 43.316
Sm 0.000 0.000 52.109
Tm 0.000 0.000 0.000
Tm 0.000 0.000 26.099
Tm 0.000 0.000 69.326
```

Summary:
E	-4.58	eV/atom
N(E_F)	14.53	states/eV/f.u.
symmetry	R-3m (166)
size of the total moment	0.0	Bohr magnetons per cell
E above lowest polymorph	0.000	eV per atom


Entry 8:
The following is a DFT calculation (GGA-PBE) of a geometry-optimized Tb9Sm2Tm structure.

extended XYZ file:
```
12
Lattice="11.267 0.000 0.000 -5.633 9.757 0.000 0.000 0.000 3.493" Properties=species:S:1:pos:R:3 pbc="T T T"
Tb -2.817 4.879 0.000
Tb 0.000 3.383 1.746
Tb -2.704 8.066 1.746
Tb 2.930 1.691 1.746
Tb 5.633 0.000 0.000
Tb 2.817 4.879 0.000
Tb 2.704 8.066 1.746
Tb 8.337 1.691 1.746
Tb 5.633 6.374 1.746
Sm 0.000 6.505 0.000
Sm 5.633 3.252 0.000
Tm 0.000 0.000 0.000
```

Summary:
E	-4.57	eV/atom
N(E_F)	18.01	states/eV/f.u.
symmetry	P6/mmm (191)
size of the total moment	0.0	Bohr magnetons per cell
E above lowest polymorph	0.040	eV per atom


Entry 9:
The following is a DFT calculation (GGA-PBE) of a geometry-optimized Tb2Sm2Tm3 structure.

extended XYZ file:
```
14
Lattice="16.632 0.000 0.000 0.000 3.488 0.000 -3.834 0.000 7.765" Properties=species:S:1:pos:R:3 pbc="T T T"
Tb 0.736 0.000 3.161
Tb 3.745 1.744 4.604
Tb 9.053 1.744 3.161
Tb 12.062 0.000 4.604
Sm -1.363 1.744 5.454
Sm 5.845 0.000 2.311
Sm 6.953 0.000 5.454
Sm 14.161 1.744 2.311
Tm 0.000 1.744 0.000
Tm 3.109 1.744 1.136
Tm 1.373 0.000 6.629
Tm 8.316 0.000 0.000
Tm 11.425 0.000 1.136
Tm 9.689 1.744 6.629
```

Summary:
E	-4.45	eV/atom
N(E_F)	11.37	states/eV/f.u.
symmetry	C2/m (12)
size of the total moment	0.0	Bohr magnetons per cell
E above lowest polymorph	0.000	eV per atom


Entry 10:
The following is a DFT calculation (GGA-PBE) of a geometry-optimized Tb5SmTm5 structure.

extended XYZ file:
```
11
Lattice="6.006 0.000 0.000 -3.003 5.202 0.000 0.000 0.000 11.645" Properties=species:S:1:pos:R:3 pbc="T T T"
Tb 0.000 0.000 0.000
Tb 0.000 3.468 3.722
Tb 0.000 3.468 7.923
Tb 3.003 1.734 1.804
Tb 3.003 1.734 9.841
Sm 0.000 3.468 0.000
Tm 0.000 0.000 3.094
Tm 0.000 0.000 8.552
Tm 1.503 0.868 5.823
Tm 4.503 0.868 5.823
Tm 3.003 3.466 5.823
```

Summary:
E	-4.25	eV/atom
N(E_F)	22.05	states/eV/f.u.
symmetry	P-6m2 (187)
size of the total moment	0.0	Bohr magnetons per cell
E above lowest polymorph	0.169	eV per atom


Entry 11:
The following is a DFT calculation (GGA-PBE) of a geometry-optimized Tb3Sm5Tm4 structure.

extended XYZ file:
```
12
Lattice="8.088 -2.938 0.000 8.088 2.938 0.000 -4.163 0.000 8.278" Properties=species:S:1:pos:R:3 pbc="T T T"
Tb 0.000 0.000 0.000
Tb 1.512 0.000 6.394
Tb 10.500 0.000 1.884
Sm -1.674 0.000 5.798
Sm 1.212 0.000 3.195
Sm 8.088 0.000 0.000
Sm 10.800 0.000 5.083
Sm 13.686 0.000 2.481
Tm 4.112 0.000 1.012
Tm 4.451 0.000 4.642
Tm 7.561 0.000 3.636
Tm 7.900 0.000 7.266
```

Summary:
E	-4.38	eV/atom
N(E_F)	19.69	states/eV/f.u.
symmetry	C2/m (12)
size of the total moment	0.0	Bohr magnetons per cell


Entry 12:
The following is a DFT calculation (GGA-PBE) of a geometry-optimized Tb2Sm6Tm5 structure.

extended XYZ file:
```
26
Lattice="11.654 0.000 0.000 0.000 20.256 0.000 0.000 0.000 3.597" Properties=species:S:1:pos:R:3 pbc="T T T"
Tb 1.922 4.298 0.000
Tb 3.906 14.427 0.000
Tb 7.749 5.830 0.000
Tb 9.733 15.958 0.000
Sm 0.683 18.649 0.000
Sm 0.959 12.838 0.000
Sm 2.023 7.467 1.798
Sm 3.805 17.595 1.798
Sm 4.868 2.710 0.000
Sm 5.145 8.521 0.000
Sm 6.510 11.736 0.000
Sm 6.786 17.547 0.000
Sm 7.850 2.661 1.798
Sm 9.632 12.789 1.798
Sm 10.696 7.418 0.000
Sm 10.972 1.608 0.000
Tm 0.000 10.128 1.798
Tm 1.100 15.703 1.798
Tm 2.320 1.104 1.798
Tm 3.508 11.232 1.798
Tm 4.727 5.575 1.798
Tm 5.827 0.000 1.798
Tm 6.927 14.682 1.798
Tm 8.147 9.024 1.798
Tm 9.335 19.153 1.798
Tm 10.554 4.554 1.798
```

Summary:
E	-4.51	eV/atom
N(E_F)	15.39	states/eV/f.u.
symmetry	Pbam (55)
size of the total moment	0.0	Bohr magnetons per cell